## i
A plane-wave DFT calculation with GGA-PBEsol was carried out for Sb3W after structural relaxation.

Magnetization (μB/atom): 0.002

a = 6.291 Å, b = 7.943 Å, c = 3.441 Å
α = 90.00°, β = 90.00°, γ = 90.00°
Atoms (fractional coordinates):
Sb (0.000, 0.000, 0.000)
Sb (0.250, 0.250, 0.500)
Sb (0.250, 0.750, 0.500)
Sb (0.500, 0.500, 0.000)
Sb (0.750, 0.250, 0.500)
Sb (0.750, 0.750, 0.500)
W (0.000, 0.500, 0.000)
W (0.500, 0.000, 0.000)

## ii
A plane-wave DFT calculation with GGA-PBEsol was carried out for Sb3W after structural relaxation.

Magnetization (μB/atom): 0.001

a = 5.033 Å, b = 5.033 Å, c = 3.415 Å
α = 90.00°, β = 90.00°, γ = 90.00°
Atoms (fractional coordinates):
Sb (0.000, 0.000, 0.000)
Sb (0.000, 0.500, 0.500)
Sb (0.500, 0.000, 0.500)
W (0.500, 0.500, 0.000)

Relative energy of each structure, in meV/atom: i 0; ii 37.

## i
A plane-wave DFT calculation with GGA-PBEsol was carried out for Sb3W after structural relaxation.

Magnetization (μB/atom): 0.001

a = 3.236 Å, b = 3.236 Å, c = 10.222 Å
α = 90.00°, β = 90.00°, γ = 120.00°
Atoms (fractional coordinates):
Sb (0.000, 0.000, 0.000)
Sb (0.667, 0.333, 0.297)
Sb (0.667, 0.333, 0.703)
W (0.000, 0.000, 0.500)

## ii
A plane-wave DFT calculation with GGA-PBEsol was carried out for Sb3W after structural relaxation.

Magnetization (μB/atom): 0.382

a = 4.471 Å, b = 4.471 Å, c = 4.471 Å
α = 90.00°, β = 90.00°, γ = 90.00°
Atoms (fractional coordinates):
Sb (0.000, 0.000, 0.500)
Sb (0.000, 0.500, 0.000)
Sb (0.500, 0.000, 0.000)
W (0.500, 0.500, 0.500)

## iii
A plane-wave DFT calculation with GGA-PBEsol was carried out for Sb3W after structural relaxation.

Magnetization (μB/atom): 0.000

a = 5.224 Å, b = 5.224 Å, c = 5.224 Å
α = 90.00°, β = 90.00°, γ = 90.00°
Atoms (fractional coordinates):
Sb (0.000, 0.000, 0.500)
Sb (0.000, 0.500, 0.000)
Sb (0.500, 0.000, 0.000)
W (0.000, 0.000, 0.000)

Relative energy of each structure, in meV/atom: i 0; ii 532; iii 339.

## i
A plane-wave DFT calculation with GGA-PBEsol was carried out for SbW2 after structural relaxation.

Magnetization (μB/atom): 0.000

a = 10.286 Å, b = 3.098 Å, c = 6.966 Å
α = 90.00°, β = 108.79°, γ = 90.00°
Atoms (fractional coordinates):
Sb (0.175, 0.000, 0.147)
Sb (0.325, 0.500, 0.853)
Sb (0.675, 0.500, 0.147)
Sb (0.825, 0.000, 0.853)
W (0.044, 0.500, 0.787)
W (0.130, 0.000, 0.532)
W (0.370, 0.500, 0.468)
W (0.456, 0.000, 0.213)
W (0.544, 0.000, 0.787)
W (0.630, 0.500, 0.532)
W (0.870, 0.000, 0.468)
W (0.956, 0.500, 0.213)

## ii
A plane-wave DFT calculation with GGA-PBEsol was carried out for SbW2 after structural relaxation.

Magnetization (μB/atom): 0.000

a = 5.373 Å, b = 5.373 Å, c = 5.373 Å
α = 60.00°, β = 60.00°, γ = 60.00°
Atoms (fractional coordinates):
Sb (0.125, 0.125, 0.125)
Sb (0.875, 0.875, 0.875)
W (0.000, 0.500, 0.500)
W (0.500, 0.000, 0.500)
W (0.500, 0.500, 0.000)
W (0.500, 0.500, 0.500)

Relative energy of each structure, in meV/atom: i 0; ii 258.

## i
A plane-wave DFT calculation with GGA-PBEsol was carried out for YSb2W after structural relaxation.

Magnetization (μB/atom): 0.000

a = 3.775 Å, b = 4.918 Å, c = 10.347 Å
α = 90.00°, β = 90.00°, γ = 90.00°
Atoms (fractional coordinates):
Y (0.000, 0.000, 0.000)
Y (0.500, 0.500, 0.000)
Sb (0.000, 0.000, 0.584)
Sb (0.000, 0.500, 0.246)
Sb (0.500, 0.000, 0.246)
Sb (0.500, 0.500, 0.584)
W (0.000, 0.500, 0.779)
W (0.500, 0.000, 0.779)

## ii
A plane-wave DFT calculation with GGA-PBEsol was carried out for YSb2W after structural relaxation.

Magnetization (μB/atom): 0.000

a = 3.459 Å, b = 5.568 Å, c = 9.467 Å
α = 90.00°, β = 90.00°, γ = 90.00°
Atoms (fractional coordinates):
Y (0.000, 0.000, 0.000)
Y (0.500, 0.500, 0.500)
Sb (0.000, 0.500, 0.219)
Sb (0.000, 0.500, 0.781)
Sb (0.500, 0.000, 0.281)
Sb (0.500, 0.000, 0.719)
W (0.000, 0.000, 0.500)
W (0.500, 0.500, 0.000)

Relative energy of each structure, in meV/atom: i 92; ii 0.

## i
A plane-wave DFT calculation with GGA-PBEsol was carried out for YSb2W after structural relaxation.

Magnetization (μB/atom): 0.000

a = 8.008 Å, b = 3.695 Å, c = 6.495 Å
α = 90.00°, β = 105.07°, γ = 90.00°
Atoms (fractional coordinates):
Y (0.000, 0.000, 0.000)
Y (0.500, 0.500, 0.000)
Sb (0.240, 0.000, 0.709)
Sb (0.260, 0.500, 0.291)
Sb (0.740, 0.500, 0.709)
Sb (0.760, 0.000, 0.291)
W (0.000, 0.500, 0.500)
W (0.500, 0.000, 0.500)

## ii
A plane-wave DFT calculation with GGA-PBEsol was carried out for YSb2W after structural relaxation.

Magnetization (μB/atom): 0.000

a = 3.610 Å, b = 3.610 Å, c = 6.753 Å
α = 90.00°, β = 90.00°, γ = 90.00°
Atoms (fractional coordinates):
Y (0.000, 0.000, 0.000)
Sb (0.000, 0.000, 0.544)
Sb (0.500, 0.500, 0.257)
W (0.500, 0.500, 0.704)

Relative energy of each structure, in meV/atom: i 0; ii 24.

## i
A plane-wave DFT calculation with GGA-PBEsol was carried out for ZrSb2W after structural relaxation.

Magnetization (μB/atom): 0.000

a = 3.351 Å, b = 3.351 Å, c = 26.888 Å
α = 90.00°, β = 90.00°, γ = 120.00°
Atoms (fractional coordinates):
Zr (0.000, 0.000, 0.000)
Zr (0.333, 0.667, 0.667)
Zr (0.667, 0.333, 0.333)
Sb (0.000, 0.000, 0.519)
Sb (0.000, 0.000, 0.752)
Sb (0.333, 0.667, 0.185)
Sb (0.333, 0.667, 0.419)
Sb (0.667, 0.333, 0.086)
Sb (0.667, 0.333, 0.852)
W (0.000, 0.000, 0.258)
W (0.333, 0.667, 0.924)
W (0.667, 0.333, 0.591)

## ii
A plane-wave DFT calculation with GGA-PBEsol was carried out for ZrSb2W after structural relaxation.

Magnetization (μB/atom): 0.000

a = 3.718 Å, b = 4.293 Å, c = 5.072 Å
α = 90.00°, β = 90.00°, γ = 90.00°
Atoms (fractional coordinates):
Zr (0.000, 0.000, 0.000)
Sb (0.000, 0.500, 0.500)
Sb (0.500, 0.500, 0.000)
W (0.500, 0.000, 0.500)

Relative energy of each structure, in meV/atom: i 0; ii 90.

## i
A plane-wave DFT calculation with GGA-PBEsol was carried out for Y2ZnSb after structural relaxation.

Magnetization (μB/atom): 0.000

a = 4.124 Å, b = 4.291 Å, c = 11.072 Å
α = 90.00°, β = 90.00°, γ = 90.00°
Atoms (fractional coordinates):
Y (0.000, 0.000, 0.000)
Y (0.000, 0.500, 0.500)
Y (0.500, 0.000, 0.286)
Y (0.500, 0.500, 0.786)
Zn (0.500, 0.000, 0.550)
Zn (0.500, 0.500, 0.050)
Sb (0.000, 0.000, 0.718)
Sb (0.000, 0.500, 0.218)

## ii
A plane-wave DFT calculation with GGA-PBEsol was carried out for Y2ZnSb after structural relaxation.

Magnetization (μB/atom): 0.000

a = 4.208 Å, b = 4.208 Å, c = 20.919 Å
α = 90.00°, β = 90.00°, γ = 120.00°
Atoms (fractional coordinates):
Y (0.000, 0.000, 0.250)
Y (0.000, 0.000, 0.750)
Y (0.333, 0.667, 0.416)
Y (0.333, 0.667, 0.917)
Y (0.667, 0.333, 0.083)
Y (0.667, 0.333, 0.584)
Zn (0.000, 0.000, 0.000)
Zn (0.333, 0.667, 0.667)
Zn (0.667, 0.333, 0.333)
Sb (0.000, 0.000, 0.500)
Sb (0.333, 0.667, 0.167)
Sb (0.667, 0.333, 0.833)

Relative energy of each structure, in meV/atom: i 0; ii 191.

## i
A plane-wave DFT calculation with GGA-PBEsol was carried out for Zr5Sb3 after structural relaxation.

Magnetization (μB/atom): 0.000

a = 8.322 Å, b = 8.322 Å, c = 8.322 Å
α = 96.54°, β = 96.54°, γ = 140.55°
Atoms (fractional coordinates):
Zr (0.077, 0.779, 0.855)
Zr (0.221, 0.077, 0.298)
Zr (0.250, 0.750, 0.500)
Zr (0.279, 0.577, 0.855)
Zr (0.423, 0.279, 0.702)
Zr (0.577, 0.721, 0.298)
Zr (0.721, 0.423, 0.145)
Zr (0.750, 0.250, 0.500)
Zr (0.779, 0.923, 0.702)
Zr (0.923, 0.221, 0.145)
Sb (0.164, 0.336, 0.500)
Sb (0.250, 0.250, 0.000)
Sb (0.336, 0.836, 0.172)
Sb (0.664, 0.164, 0.828)
Sb (0.750, 0.750, 0.000)
Sb (0.836, 0.664, 0.500)

## ii
A plane-wave DFT calculation with GGA-PBEsol was carried out for Zr5Sb3 after structural relaxation.

Magnetization (μB/atom): 0.000

a = 10.712 Å, b = 8.784 Å, c = 7.502 Å
α = 90.00°, β = 90.00°, γ = 90.00°
Atoms (fractional coordinates):
Zr (0.003, 0.250, 0.026)
Zr (0.052, 0.056, 0.699)
Zr (0.052, 0.444, 0.699)
Zr (0.212, 0.750, 0.325)
Zr (0.232, 0.250, 0.318)
Zr (0.268, 0.750, 0.818)
Zr (0.288, 0.250, 0.825)
Zr (0.448, 0.556, 0.199)
Zr (0.448, 0.944, 0.199)
Zr (0.497, 0.750, 0.526)
Zr (0.503, 0.250, 0.474)
Zr (0.552, 0.056, 0.801)
Zr (0.552, 0.444, 0.801)
Zr (0.712, 0.750, 0.175)
Zr (0.732, 0.250, 0.182)
Zr (0.768, 0.750, 0.682)
Zr (0.788, 0.250, 0.675)
Zr (0.948, 0.556, 0.301)
Zr (0.948, 0.944, 0.301)
Zr (0.997, 0.750, 0.974)
Sb (0.027, 0.750, 0.591)
Sb (0.179, 0.507, 0.064)
Sb (0.179, 0.993, 0.064)
Sb (0.321, 0.007, 0.564)
Sb (0.321, 0.493, 0.564)
Sb (0.473, 0.250, 0.091)
Sb (0.527, 0.750, 0.909)
Sb (0.679, 0.507, 0.436)
Sb (0.679, 0.993, 0.436)
Sb (0.821, 0.007, 0.936)
Sb (0.821, 0.493, 0.936)
Sb (0.973, 0.250, 0.409)

Relative energy of each structure, in meV/atom: i 24; ii 0.

## i
A plane-wave DFT calculation with GGA-PBEsol was carried out for ZrSb3 after structural relaxation.

Magnetization (μB/atom): 0.000

a = 5.494 Å, b = 5.494 Å, c = 5.494 Å
α = 90.00°, β = 90.00°, γ = 90.00°
Atoms (fractional coordinates):
Zr (0.000, 0.000, 0.000)
Sb (0.000, 0.000, 0.500)
Sb (0.000, 0.500, 0.000)
Sb (0.500, 0.000, 0.000)

## ii
A plane-wave DFT calculation with GGA-PBEsol was carried out for ZrSb3 after structural relaxation.

Magnetization (μB/atom): 0.000

a = 4.596 Å, b = 4.596 Å, c = 4.596 Å
α = 90.00°, β = 90.00°, γ = 90.00°
Atoms (fractional coordinates):
Zr (0.000, 0.000, 0.000)
Sb (0.000, 0.500, 0.500)
Sb (0.500, 0.000, 0.500)
Sb (0.500, 0.500, 0.000)

## iii
A plane-wave DFT calculation with GGA-PBEsol was carried out for ZrSb3 after structural relaxation.

Magnetization (μB/atom): 0.000

a = 9.281 Å, b = 7.852 Å, c = 5.289 Å
α = 90.00°, β = 90.00°, γ = 90.00°
Atoms (fractional coordinates):
Zr (0.000, 0.192, 0.250)
Zr (0.000, 0.808, 0.750)
Zr (0.500, 0.308, 0.750)
Zr (0.500, 0.692, 0.250)
Sb (0.000, 0.399, 0.750)
Sb (0.000, 0.601, 0.250)
Sb (0.202, 0.117, 0.750)
Sb (0.202, 0.883, 0.250)
Sb (0.298, 0.383, 0.250)
Sb (0.298, 0.617, 0.750)
Sb (0.500, 0.101, 0.250)
Sb (0.500, 0.899, 0.750)
Sb (0.702, 0.383, 0.250)
Sb (0.702, 0.617, 0.750)
Sb (0.798, 0.117, 0.750)
Sb (0.798, 0.883, 0.250)

Relative energy of each structure, in meV/atom: i 561; ii 241; iii 0.

## i
A plane-wave DFT calculation with GGA-PBEsol was carried out for Sc after structural relaxation.

Magnetization (μB/atom): 0.000

a = 5.031 Å, b = 5.031 Å, c = 3.190 Å
α = 90.00°, β = 90.00°, γ = 120.00°
Atoms (fractional coordinates):
Sc (0.000, 0.000, 0.000)
Sc (0.333, 0.667, 0.500)
Sc (0.667, 0.333, 0.500)

## ii
A plane-wave DFT calculation with GGA-PBEsol was carried out for Sc after structural relaxation.

Magnetization (μB/atom): 0.001

a = 4.540 Å, b = 4.540 Å, c = 4.540 Å
α = 90.00°, β = 90.00°, γ = 90.00°
Atoms (fractional coordinates):
Sc (0.000, 0.000, 0.000)
Sc (0.000, 0.500, 0.500)
Sc (0.500, 0.000, 0.500)
Sc (0.500, 0.500, 0.000)

Relative energy of each structure, in meV/atom: i 12; ii 0.

## i
A plane-wave DFT calculation with GGA-PBEsol was carried out for Sc after structural relaxation.

Magnetization (μB/atom): 0.000

a = 3.272 Å, b = 3.272 Å, c = 5.070 Å
α = 90.00°, β = 90.00°, γ = 120.00°
Atoms (fractional coordinates):
Sc (0.333, 0.667, 0.250)
Sc (0.667, 0.333, 0.750)

## ii
A plane-wave DFT calculation with GGA-PBEsol was carried out for Sc after structural relaxation.

Magnetization (μB/atom): 0.001

a = 3.236 Å, b = 3.236 Å, c = 10.322 Å
α = 90.00°, β = 90.00°, γ = 120.00°
Atoms (fractional coordinates):
Sc (0.000, 0.000, 0.000)
Sc (0.000, 0.000, 0.500)
Sc (0.333, 0.667, 0.250)
Sc (0.667, 0.333, 0.750)

Relative energy of each structure, in meV/atom: i 0; ii 22.

## i
A plane-wave DFT calculation with GGA-PBEsol was carried out for SrScSe2 after structural relaxation.

Magnetization (μB/atom): 0.188

a = 7.150 Å, b = 7.150 Å, c = 3.529 Å
α = 90.00°, β = 90.22°, γ = 90.00°
Atoms (fractional coordinates):
Sr (0.000, 0.000, 0.000)
Sr (0.500, 0.500, 0.000)
Sc (0.000, 0.500, 0.000)
Sc (0.500, 0.000, 0.000)
Se (0.250, 0.250, 0.500)
Se (0.250, 0.750, 0.500)
Se (0.750, 0.250, 0.500)
Se (0.750, 0.750, 0.500)

## ii
A plane-wave DFT calculation with GGA-PBEsol was carried out for SrScSe2 after structural relaxation.

Magnetization (μB/atom): 0.169

a = 7.125 Å, b = 7.125 Å, c = 7.125 Å
α = 90.00°, β = 90.00°, γ = 90.00°
Atoms (fractional coordinates):
Sr (0.000, 0.000, 0.000)
Sr (0.000, 0.500, 0.500)
Sr (0.500, 0.000, 0.500)
Sr (0.500, 0.500, 0.000)
Sc (0.250, 0.250, 0.750)
Sc (0.250, 0.750, 0.250)
Sc (0.750, 0.250, 0.250)
Sc (0.750, 0.750, 0.750)
Se (0.000, 0.000, 0.500)
Se (0.000, 0.500, 0.000)
Se (0.250, 0.250, 0.250)
Se (0.250, 0.750, 0.750)
Se (0.500, 0.000, 0.000)
Se (0.500, 0.500, 0.500)
Se (0.750, 0.250, 0.750)
Se (0.750, 0.750, 0.250)

## iii
A plane-wave DFT calculation with GGA-PBEsol was carried out for SrScSe2 after structural relaxation.

Magnetization (μB/atom): 0.170

a = 3.681 Å, b = 3.788 Å, c = 13.970 Å
α = 90.00°, β = 90.00°, γ = 90.00°
Atoms (fractional coordinates):
Sr (0.000, 0.000, 0.000)
Sr (0.500, 0.500, 0.500)
Sc (0.000, 0.500, 0.751)
Sc (0.500, 0.000, 0.251)
Se (0.000, 0.000, 0.393)
Se (0.000, 0.500, 0.177)
Se (0.500, 0.000, 0.677)
Se (0.500, 0.500, 0.893)

## iv
A plane-wave DFT calculation with GGA-PBEsol was carried out for SrScSe2 after structural relaxation.

Magnetization (μB/atom): 0.000

a = 4.023 Å, b = 4.023 Å, c = 20.415 Å
α = 90.00°, β = 90.00°, γ = 120.00°
Atoms (fractional coordinates):
Sr (0.000, 0.000, 0.000)
Sr (0.333, 0.667, 0.667)
Sr (0.667, 0.333, 0.333)
Sc (0.000, 0.000, 0.500)
Sc (0.333, 0.667, 0.167)
Sc (0.667, 0.333, 0.833)
Se (0.000, 0.000, 0.239)
Se (0.000, 0.000, 0.761)
Se (0.333, 0.667, 0.428)
Se (0.333, 0.667, 0.906)
Se (0.667, 0.333, 0.094)
Se (0.667, 0.333, 0.572)

Relative energy of each structure, in meV/atom: i 403; ii 1292; iii 198; iv 0.